No. 1
AlSi2Tc: single point on PBEsol structure, meta-GGA SCAN.

Lattice parameters (Å, degrees): 3.1592 3.2010 5.3595 90.00 90.00 90.00
Closest atoms and distances in Å follow each position.
Space group Pmmm (No. 47)
One atom of each set of equivalent atoms:
Al (0.0000, 0.0000, 0.0000) (multiplicity 1)  8 Si 2.64, 2 Tc 2.68
Si (0.5000, 0.5000, 0.2580) (multiplicity 2)  2 Si 2.59-2.77, 4 Tc 2.60, 4 Al 2.64
Tc (0.0000, 0.0000, 0.5000) (multiplicity 1)  8 Si 2.60, 2 Al 2.68

Uncorrected formation energy = -85 meV per atom

No. 2
LiBeCoRu2: single point on PBEsol structure, meta-GGA SCAN.

Lattice parameters (Å, degrees): 4.3378 4.3378 3.9688 90.00 90.00 90.00
Closest atoms and distances in Å follow each position.
Space group P4/mmm (No. 123)
One atom of each set of equivalent atoms:
Li (0.0000, 0.0000, 0.0000) (multiplicity 1)  8 Ru 2.94, 4 Be 3.07
Be (0.5000, 0.5000, 0.0000) (multiplicity 1)  2 Co 1.98
Co (0.5000, 0.5000, 0.5000) (multiplicity 1)  2 Be 1.98, 4 Ru 2.17
Ru (0.0000, 0.5000, 0.5000) (multiplicity 2)  2 Co 2.17

E_form = 488 kJ/mol of formula units

No. 3
SrSN2F: single point on PBEsol structure, meta-GGA SCAN.

Lattice parameters (Å, degrees): 4.9952 4.9952 5.8567 90.00 90.00 90.00
Closest atoms and distances in Å follow each position.
Space group P4/mmm (No. 123)
One atom of each set of equivalent atoms:
Sr (0.0000, 0.0000, 0.0000) (multiplicity 1)  4 N 2.50
S (0.0000, 0.0000, 0.5000) (multiplicity 1)  2 Sr 2.93
N (0.0000, 0.5000, 0.0000) (multiplicity 2)  2 Sr 2.50
F (0.5000, 0.5000, 0.5000) (multiplicity 1)  4 S 3.53, 8 N 3.85

Uncorrected formation energy = 1222 meV per atom

No. 4
MgRe2Mo: single point on PBEsol structure, meta-GGA SCAN.

Lattice parameters (Å, degrees): 3.0786 4.4047 9.0638 90.00 90.00 90.00
Closest atoms and distances in Å follow each position.
Space group Cmmm (No. 65)
One atom of each set of equivalent atoms:
Mg (0.0000, 0.0000, 0.0000) (multiplicity 2)  4 Mg 2.69, 4 Re 2.81
Re (0.0000, 0.5000, 0.2594) (multiplicity 4)  2 Mo 2.67, 4 Re 2.69, 2 Mg 2.81
Mo (0.0000, 0.0000, 0.5000) (multiplicity 2)  4 Re 2.67, 4 Mo 2.69

E_form = 45 kJ/mol of formula units

Repeat the second record exactly.
LiBeCoRu2: single point on PBEsol structure, meta-GGA SCAN.

Lattice parameters (Å, degrees): 4.3378 4.3378 3.9688 90.00 90.00 90.00
Closest atoms and distances in Å follow each position.
Space group P4/mmm (No. 123)
One atom of each set of equivalent atoms:
Li (0.0000, 0.0000, 0.0000) (multiplicity 1)  8 Ru 2.94, 4 Be 3.07
Be (0.5000, 0.5000, 0.0000) (multiplicity 1)  2 Co 1.98
Co (0.5000, 0.5000, 0.5000) (multiplicity 1)  2 Be 1.98, 4 Ru 2.17
Ru (0.0000, 0.5000, 0.5000) (multiplicity 2)  2 Co 2.17

E_form = 488 kJ/mol of formula units